Record 1
This record from Alexandria via LeMat-Bulk describes a relaxed structure of SnPtN2O. The functional is GGA-PBE.

Lattice parameters (Å, degrees): 3.9065 3.9065 4.3222 90.00 90.00 90.00
Fractional positions:
O: 0.0000 0.0000 0.5000
Sn: 0.5000 0.5000 0.5000
Pt: 0.0000 0.0000 0.0000
N: 0.0000 0.5000 0.0000
N: 0.5000 0.0000 0.0000

Formation energy (no corrections) in kcal/mol of atoms: 19.47
V in Å³/cell: 66
SG: No. 123

***

Record 2
This record from Alexandria via LeMat-Bulk describes a relaxed structure of SnPtN2O. The functional is GGA-PBE.

Lattice parameters (Å, degrees): 4.1943 4.1943 3.9774 90.00 90.00 90.00
Each line ends with the local moment (μB).
Fractional positions:
N: 0.0000 0.5000 0.0000  0.33
N: 0.5000 0.0000 0.0000  0.33
O: 0.0000 0.0000 0.5000  0.36
Sn: 0.0000 0.0000 0.0000  -0.03
Pt: 0.5000 0.5000 0.5000  0.31

Formation energy (no corrections) in kcal/mol of atoms: 31.41
V in Å³/cell: 70
SG: No. 123

***

Record 3
This record from Alexandria via LeMat-Bulk describes a relaxed structure of TcPt2NO. The functional is GGA-PBE.

Lattice parameters (Å, degrees): 4.8988 3.6786 4.8988 90.00 90.00 90.00
Fractional positions:
Tc: 0.0000 0.0000 0.0000
Pt: 0.5000 0.0000 0.0000
Pt: 0.0000 0.0000 0.5000
O: 0.5000 0.5000 0.5000
N: 0.0000 0.5000 0.0000

Formation energy (no corrections) in kcal/mol of atoms: 34.72
V in Å³/cell: 88
SG: No. 123

***

Record 4
This record from Alexandria via LeMat-Bulk describes a relaxed structure of TePtN2O. The functional is GGA-PBE.

Lattice parameters (Å, degrees): 3.6823 3.6823 6.4352 90.00 90.00 90.00
Fractional positions:
N: 0.0000 0.5000 0.0000
N: 0.5000 0.0000 0.0000
O: 0.5000 0.5000 0.5000
Pt: 0.0000 0.0000 0.0000
Te: 0.0000 0.0000 0.5000

Formation energy (no corrections) in kcal/mol of atoms: 26.73
V in Å³/cell: 87
SG: No. 123

***

Record 5
This record from Alexandria via LeMat-Bulk describes a relaxed structure of Te2PtNO. The functional is GGA-PBE.

Lattice parameters (Å, degrees): 5.5314 5.5314 3.6403 90.00 90.00 90.00
Each line ends with the local moment (μB).
Fractional positions:
Te: 0.0000 0.5000 0.0000  0.06
Te: 0.5000 0.0000 0.0000  0.06
O: 0.5000 0.5000 0.5000  0.93
N: 0.0000 0.0000 0.5000  -0.01
Pt: 0.0000 0.0000 0.0000  0.00

Formation energy (no corrections) in kcal/mol of atoms: 21.46
V in Å³/cell: 111
SG: No. 123

***

Record 6
This record from Alexandria via LeMat-Bulk describes a relaxed structure of TePtN2O. The functional is GGA-PBE.

Lattice parameters (Å, degrees): 3.9830 3.9830 4.0581 90.00 90.00 90.00
Fractional positions:
N: 0.5000 0.0000 0.0000
N: 0.0000 0.5000 0.0000
Te: 0.5000 0.5000 0.5000
Pt: 0.0000 0.0000 0.0000
O: 0.0000 0.0000 0.5000

Formation energy (no corrections) in kcal/mol of atoms: 26.31
V in Å³/cell: 64
SG: No. 123